Entry from Alexandria: an optimized crystal structure of BaMnSb2 (PBE-GGA).

Cell and atoms, written as POSCAR:
```
BaMnSb2
1.0
4.212 0.000 0.000
0.000 3.660 0.008
0.000 1.088 7.743
Ba Mn Sb
1 1 2
Direct
0.500 0.250 0.250 Ba
0.500 0.750 0.750 Mn
0.000 0.625 0.544 Sb
0.000 0.875 0.956 Sb
```

Summary:
uncorrected energy	-5.067	eV per atom
symmetry	P2/m, No. 10
formation energy from raw total energies	-0.2327	eV per atom